A plane-wave DFT calculation with PBE-GGA was carried out for a relaxed Sm2YHoTm5 crystal.

Calculated values
* total moment: 0.00 Bohr magnetons per cell
* calculated density: 8206 kg/m³
* total DFT energy (no corrections): -4.481 eV per atom
* energy of formation: 6.42 kcal/mol of atoms

CIF file:
```
data_Sm2YHoTm5
_cell_length_a 8.606
_cell_length_b 8.606
_cell_length_c 15.294
_cell_angle_alpha 90.00
_cell_angle_beta 90.00
_cell_angle_gamma 90.00
_symmetry_space_group_name_H-M 'I 4/m c m'
_symmetry_Int_Tables_number 140
_symmetry_space_group_name_Hall '-I 4 2c'
loop_
_atom_site_label
_atom_site_fract_x
_atom_site_fract_y
_atom_site_fract_z
Sm1 0.117 0.383 0.000
Y1 0.000 0.000 0.250
Ho1 0.000 0.500 0.250
Tm1 0.000 0.000 0.000
Tm2 0.210 0.290 0.362
```

A plane-wave DFT calculation with PBE-GGA was carried out for a relaxed SmY5HoTm2 crystal.

Calculated values
* total moment: 0.00 Bohr magnetons per cell
* calculated density: 6181 kg/m³
* total DFT energy (no corrections): -5.459 eV per atom
* energy of formation: 3.66 kcal/mol of atoms

CIF file:
```
data_SmY5HoTm2
_cell_length_a 5.603
_cell_length_b 20.134
_cell_length_c 10.455
_cell_angle_alpha 90.00
_cell_angle_beta 90.00
_cell_angle_gamma 90.00
_symmetry_space_group_name_H-M 'C m c 21'
_symmetry_Int_Tables_number 36
loop_
_symmetry_equiv_pos_as_xyz
'x,y,z'
'-x,-y,z+1/2'
'-x,y,z'
'x,-y,z+1/2'
'x+1/2,y+1/2,z'
'-x+1/2,-y+1/2,z+1/2'
'-x+1/2,y+1/2,z'
'x+1/2,-y+1/2,z+1/2'
loop_
_atom_site_label
_atom_site_fract_x
_atom_site_fract_y
_atom_site_fract_z
Sm1 0.000 0.196 0.000
Y1 0.000 0.016 0.007
Y2 0.000 0.277 0.301
Y3 0.000 0.301 0.690
Y4 0.000 0.388 0.011
Y5 0.000 0.479 0.723
Ho1 0.000 0.412 0.435
Tm1 0.000 0.111 0.722
Tm2 0.000 0.112 0.303
```

A plane-wave DFT calculation with PBE-GGA was carried out for a relaxed Sm3Y6HoTm2 crystal.

Calculated values
* total moment: 0.00 Bohr magnetons per cell
* calculated density: 6416 kg/m³
* total DFT energy (no corrections): -5.517 eV per atom
* energy of formation: 0.50 kcal/mol of atoms

CIF file:
```
data_Sm3Y6HoTm2
_cell_length_a 6.184
_cell_length_b 10.702
_cell_length_c 11.812
_cell_angle_alpha 90.00
_cell_angle_beta 100.01
_cell_angle_gamma 90.00
_symmetry_space_group_name_H-M 'C 1 2/m 1'
_symmetry_Int_Tables_number 12
loop_
_symmetry_equiv_pos_as_xyz
'x,y,z'
'-x,-y,-z'
'-x,y,-z'
'x,-y,z'
'x+1/2,y+1/2,z'
'-x+1/2,-y+1/2,-z'
'-x+1/2,y+1/2,-z'
'x+1/2,-y+1/2,z'
loop_
_atom_site_label
_atom_site_fract_x
_atom_site_fract_y
_atom_site_fract_z
Sm1 0.000 0.000 0.000
Sm2 0.000 0.333 0.000
Y1 0.249 0.000 0.747
Y2 0.249 0.333 0.747
Ho1 0.000 0.500 0.500
Tm1 0.000 0.167 0.500
```

Question: What is the energy of formation in the second record?
Answer: 3.66 kcal/mol of atoms

Question: The lowest total DFT energy (no corrections) belongs to which entry?
Answer: Sm3Y6HoTm2

Question: Which value of energy of formation does entry 2 give?
Answer: 3.66 kcal/mol of atoms